Y2Zn2Cu3 | PBE | optimized geometry

Calculated values
Energy relative to the elements   -0.262 eV/atom
V   18.06 Å³/atom
E_tot   -29.60 eV/cell

Unit cell a=4.133 b=5.437 c=6.551 alpha=110.09 beta=90.00 gamma=112.34
Fractional coordinates of all 7 atoms:
Zn 0.849 0.698 0.764
Zn 0.151 0.302 0.236
Y 0.859 0.719 0.237
Y 0.141 0.281 0.763
Cu 0.603 0.206 0.421
Cu 0.500 0.000 0.000
Cu 0.397 0.794 0.579